(1)
{"formula": "AsCl", "functional": "PBE", "state": "relaxed", "raw_formation_energy_kj_per_mol_atoms": -30, "magmom_total_mub_per_cell": 0.0, "space_group": "Pmn2_1, No. 31", "lattice_angstrom": [[10.403, 0.000, 0.000], [0.000, 7.248, 0.000], [0.000, 0.000, 5.268]], "species": ["As", "As", "As", "As", "As", "As", "Cl", "Cl", "Cl", "Cl", "Cl", "Cl"], "frac_coords": [[0.713, 0.004, 0.248], [0.787, 0.996, 0.748], [0.287, 0.004, 0.248], [0.213, 0.996, 0.748], [0.000, 0.818, 0.737], [0.500, 0.182, 0.237], [0.834, 0.292, 0.737], [0.666, 0.708, 0.237], [0.166, 0.292, 0.737], [0.334, 0.708, 0.237], [0.000, 0.772, 0.295], [0.500, 0.228, 0.795]]}

***

(2)
{"formula": "OsPb2W", "functional": "PBE", "state": "relaxed", "delta_e_f_ev_per_atom": 1.239, "magmom_total_mub_per_cell": 0.0, "space_group": "R-3m, No. 166", "e_above_lowest_polymorph_ev_per_atom": 0.861, "lattice_angstrom": [[-5.901, -4.029, 6.103], [-6.341, -5.917, 3.617], [-3.941, -6.443, 5.591]], "species": ["Os", "Pb", "Pb", "W"], "frac_coords": [[0.750, 0.750, 0.750], [0.004, 0.004, 0.004], [0.496, 0.496, 0.496], [0.250, 0.250, 0.250]]}